CuSbW2F | GGA+U | relaxed

The structure belongs to space group P4/mmm (No. 123); the cell edges are 5.142, 5.142 and 3.894 Å and the angles 90.00°, 90.00° and 90.00°. Symmetry generates all atoms from Cu at (0.000, 0.000, 0.000), Sb at (0.500, 0.500, 0.500), W at (0.000, 0.500, 0.000) and F at (0.000, 0.000, 0.500).

As for the density of states at the Fermi level: 2.365 states/eV per cell. As for the total DFT energy (no corrections): -4.0989 eV per atom. The size of the total moment is 7.8 μB/cell.